Entry 1:
CsFeI4: optimized geometry, GGA-PBE.

Unit cell a=13.4373 b=8.2427 c=11.0594 alpha=90.00 beta=90.00 gamma=90.00
Space group Pnma (No. 62)
Inequivalent atoms, fractional coordinates:
Cs 0.1822 0.2500 0.1582 [4 per cell]
Fe 0.0601 0.2500 0.6991 [4 per cell]
I 0.0853 0.5019 0.8331 [8 per cell]
I 0.1160 0.7500 0.3832 [4 per cell]
I 0.1915 0.2500 0.5329 [4 per cell]

Summary:
spin magnetization	0.832	μB per atom
polymorph energy (0 for the lowest one)	0.0000	eV/atom

Entry 2:
CsFe3I: optimized geometry, GGA-PBE.

Unit cell a=4.9646 b=4.9646 c=4.9646 alpha=90.00 beta=90.00 gamma=90.00
Space group Pm-3m (No. 221)
Inequivalent atoms, fractional coordinates:
Cs 0.0000 0.0000 0.0000 [1 per cell]
Fe 0.0000 0.5000 0.5000 [3 per cell]
I 0.5000 0.5000 0.5000 [1 per cell]

Summary:
DOS(E_F)	2.7	states/eV per cell
spin magnetization	1.269	μB per atom
polymorph energy (0 for the lowest one)	0.0000	eV/atom

Entry 3:
CsFeI4: optimized geometry, GGA-PBE.

Unit cell a=8.2542 b=8.2542 c=9.6792 alpha=90.00 beta=90.00 gamma=90.00
Space group P4_2/nmc (No. 137, origin choice 2)
Inequivalent atoms, fractional coordinates:
Cs 0.2500 0.7500 0.2500 [2 per cell]
Fe 0.2500 0.7500 0.7500 [2 per cell]
I 0.0042 0.2500 0.0986 [8 per cell]

Summary:
spin magnetization	0.832	μB per atom
polymorph energy (0 for the lowest one)	0.0039	eV/atom

Entry 4:
CsFe2I6: optimized geometry, GGA-PBE.

Unit cell a=15.3818 b=16.9710 c=7.1978 alpha=90.00 beta=95.92 gamma=90.00
Space group C2/c (No. 15)
Inequivalent atoms, fractional coordinates:
Cs 0.0000 0.1284 0.2500 [4 per cell]
Fe 0.2019 0.4297 0.2194 [8 per cell]
I 0.1237 0.3134 0.0606 [8 per cell]
I 0.1305 0.0817 0.7593 [8 per cell]
I 0.1497 0.4363 0.5606 [8 per cell]

Summary:
DOS(E_F)	18.8	states/eV per cell
spin magnetization	1.000	μB per atom

Entry 5:
CsFeI3: optimized geometry, GGA-PBE.

Unit cell a=5.7519 b=5.7519 c=5.7519 alpha=90.00 beta=90.00 gamma=90.00
Space group Pm-3m (No. 221)
Inequivalent atoms, fractional coordinates:
Cs 0.0000 0.0000 0.0000 [1 per cell]
Fe 0.5000 0.5000 0.5000 [1 per cell]
I 0.0000 0.5000 0.5000 [3 per cell]

Summary:
DOS(E_F)	5.6	states/eV per cell
spin magnetization	0.799	μB per atom

Entry 6:
Cs6Fe3I14: optimized geometry, GGA-PBE.

Unit cell a=13.7966 b=13.7966 c=7.3062 alpha=90.00 beta=90.00 gamma=120.00
Space group P3 (No. 143)
Inequivalent atoms, fractional coordinates:
Cs 0.0254 0.4589 0.0000 [3 per cell]
Cs 0.3066 0.2091 0.4888 [3 per cell]
Fe 0.0000 0.0000 0.0568 [1 per cell]
Fe 0.3333 0.6667 0.5678 [1 per cell]
Fe 0.6667 0.3333 0.7352 [1 per cell]
I 0.0000 0.0000 0.7036 [1 per cell]
I 0.0679 0.2015 0.1737 [3 per cell]
I 0.2020 0.7372 0.6832 [3 per cell]
I 0.3333 0.6667 0.2141 [1 per cell]
I 0.4720 0.2658 0.9562 [3 per cell]
I 0.5384 0.1385 0.5170 [3 per cell]

Summary:
DOS(E_F)	11.2	states/eV per cell
spin magnetization	0.609	μB per atom

Entry 7:
Cs2Fe2I7: optimized geometry, GGA-PBE.

Unit cell a=11.9062 b=14.3811 c=7.5357 alpha=90.00 beta=97.77 gamma=90.00
Space group C2/m (No. 12)
Inequivalent atoms, fractional coordinates:
Cs 0.0000 0.2133 0.0000 [4 per cell]
Fe 0.2147 0.5000 0.4428 [4 per cell]
I 0.0000 0.5000 0.5000 [2 per cell]
I 0.1617 0.0000 0.2506 [4 per cell]
I 0.2481 0.3515 0.2663 [8 per cell]

Summary:
DOS(E_F)	14.1	states/eV per cell
spin magnetization	0.818	μB per atom

Entry 8:
CsFeI3: optimized geometry, GGA-PBE.

Unit cell a=8.4502 b=8.4507 c=8.6583 alpha=60.83 beta=60.85 gamma=90.00
Space group P-1 (No. 2)
Inequivalent atoms, fractional coordinates:
Cs 0.2498 0.2502 0.0000 [2 per cell]
Fe 0.0972 0.5972 0.3066 [2 per cell]
I 0.2072 0.7222 0.5019 [2 per cell]
I 0.2231 0.2917 0.5001 [2 per cell]
I 0.3006 0.8006 0.9003 [2 per cell]

Summary:
DOS(E_F)	5.7	states/eV per cell
spin magnetization	0.800	μB per atom

Entry 9:
Cs2FeI4: optimized geometry, GGA-PBE.

Unit cell a=5.8186 b=5.8186 c=18.8794 alpha=90.00 beta=90.00 gamma=90.00
Space group I4/mmm (No. 139)
Inequivalent atoms, fractional coordinates:
Cs 0.0000 0.0000 0.1396 [4 per cell]
Fe 0.0000 0.0000 0.5000 [2 per cell]
I 0.0000 0.0000 0.3496 [4 per cell]
I 0.0000 0.5000 0.0000 [4 per cell]

Summary:
DOS(E_F)	12.1	states/eV per cell
spin magnetization	0.572	μB per atom
polymorph energy (0 for the lowest one)	0.0866	eV/atom

Entry 10:
CsFe3I: optimized geometry, GGA-PBE.

Unit cell a=5.0127 b=5.0127 c=5.0127 alpha=90.00 beta=90.00 gamma=90.00
Space group Pm-3m (No. 221)
Inequivalent atoms, fractional coordinates:
Cs 0.0000 0.0000 0.0000 [1 per cell]
Fe 0.0000 0.0000 0.5000 [3 per cell]
I 0.5000 0.5000 0.5000 [1 per cell]

Summary:
DOS(E_F)	10.2	states/eV per cell
spin magnetization	1.510	μB per atom
polymorph energy (0 for the lowest one)	0.8977	eV/atom

Entry 11:
Cs2FeI4: optimized geometry, GGA-PBE.

Unit cell a=8.0703 b=8.3779 c=11.0548 alpha=90.00 beta=109.29 gamma=90.00
Space group P2_1/m (No. 11)
Inequivalent atoms, fractional coordinates:
Cs 0.1968 0.2500 0.4141 [2 per cell]
Cs 0.2952 0.2500 0.9620 [2 per cell]
Fe 0.3099 0.7500 0.2177 [2 per cell]
I 0.0955 0.7500 0.3529 [2 per cell]
I 0.1544 0.7500 0.9661 [2 per cell]
I 0.4826 0.9996 0.7213 [4 per cell]

Summary:
DOS(E_F)	14.4	states/eV per cell
spin magnetization	0.571	μB per atom
polymorph energy (0 for the lowest one)	0.0000	eV/atom

Entry 12:
CsInFe2I6: optimized geometry, GGA-PBE.

Unit cell a=15.7542 b=14.5681 c=8.3136 alpha=90.00 beta=105.54 gamma=90.00
Space group C2/c (No. 15)
Inequivalent atoms, fractional coordinates:
Cs 0.0000 0.1870 0.2500 [4 per cell]
In 0.0000 0.3909 0.7500 [4 per cell]
Fe 0.2122 0.0824 0.7579 [8 per cell]
I 0.1170 0.4236 0.1619 [8 per cell]
I 0.1416 0.0305 0.0035 [8 per cell]
I 0.1605 0.2491 0.6780 [8 per cell]

Summary:
DOS(E_F)	43.7	states/eV per cell
spin magnetization	0.800	μB per atom

| no. | total energy (eV per atom) |
| --- | --- |
| 1 | -3.256 |
| 2 | -4.078 |
| 3 | -3.252 |
| 4 | -3.478 |
| 5 | -3.371 |
| 6 | -3.165 |
| 7 | -3.333 |
| 8 | -3.438 |
| 9 | -3.215 |
| 10 | -3.180 |
| 11 | -3.301 |
| 12 | -3.436 |